#1
NaCrIr2 | PBE | optimized geometry

Summary:
The density of states at the Fermi level is 19.0 states/eV/cell. The volume is 14.36 Å³ per atom.

a b c (Å): 6.1246 6.1246 6.1246
angles (deg): 90.00 90.00 90.00
Space group Fm-3m (No. 225)
Unique sites:
1 Na 0.0000 0.0000 0.0000
2 Cr 0.0000 0.0000 0.5000
3 Ir 0.2500 0.2500 0.2500

=====

#2
NaCrIr2 | PBE | optimized geometry

Summary:
The density of states at the Fermi level is 10.7 states/eV/cell. The volume is 16.80 Å³ per atom.

a b c (Å): 7.1258 7.1258 5.2924
angles (deg): 90.00 90.00 90.00
Space group I-42d (No. 122)
Unique sites:
1 Na 0.0000 0.0000 0.0000
2 Cr 0.0000 0.0000 0.5000
3 Ir 0.1924 0.2500 0.6250

=====

The calculated energies rank the structures as follows, beginning with the most stable: #1, #2.

=====

#1
Nb2CrIr | PBE | optimized geometry

Summary:
The density of states at the Fermi level is 15.5 states/eV/cell. The volume is 17.49 Å³ per atom.

a b c (Å): 3.8455 3.8455 18.9207
angles (deg): 90.00 90.00 90.00
Space group I-42d (No. 122)
Unique sites:
1 Nb 0.2481 0.2500 0.1250
2 Cr 0.0000 0.0000 0.0000
3 Ir 0.0000 0.0000 0.5000

=====

#2
Nb2CrIr | PBE | optimized geometry

Summary:
The density of states at the Fermi level is 17.8 states/eV/cell. The volume is 15.78 Å³ per atom.

a b c (Å): 6.3209 6.3209 6.3209
angles (deg): 90.00 90.00 90.00
Space group Fm-3m (No. 225)
Unique sites:
1 Nb 0.2500 0.2500 0.2500
2 Cr 0.0000 0.0000 0.0000
3 Ir 0.0000 0.0000 0.5000

=====

#3
Nb2CrIr | PBE | optimized geometry

Summary:
The density of states at the Fermi level is 3.2 states/eV/cell. The volume is 15.71 Å³ per atom.

a b c (Å): 3.1502 3.1502 6.3317
angles (deg): 90.00 90.00 90.00
Space group P4/mmm (No. 123)
Unique sites:
1 Nb 0.0000 0.0000 0.2346
2 Cr 0.5000 0.5000 0.0000
3 Ir 0.5000 0.5000 0.5000

=====

The calculated energies rank the structures as follows, beginning with the most stable: #3, #2, #1.

=====

#1
Cr2NiIr2 | PBE | optimized geometry

Summary:
The density of states at the Fermi level is 11.4 states/eV/cell. The volume is 13.64 Å³ per atom.

a b c (Å): 7.1428 7.1428 2.6732
angles (deg): 90.00 90.00 90.00
Space group P4/mbm (No. 127)
Unique sites:
1 Cr 0.1189 0.3811 0.0000
2 Ni 0.0000 0.0000 0.0000
3 Ir 0.1723 0.6723 0.5000

=====

#2
Cr2NiIr2 | PBE | optimized geometry

Summary:
The density of states at the Fermi level is 9.2 states/eV/cell. The volume is 13.76 Å³ per atom.

a b c (Å): 7.1773 7.1773 2.6705
angles (deg): 90.00 90.00 90.00
Space group P4/mbm (No. 127)
Unique sites:
1 Cr 0.1641 0.3359 0.0000
2 Ni 0.0000 0.0000 0.5000
3 Ir 0.1330 0.6330 0.5000

=====

#3
Cr2NiIr2 | PBE | optimized geometry

Summary:
The density of states at the Fermi level is 9.8 states/eV/cell. The volume is 12.75 Å³ per atom.

a b c (Å): 8.1396 3.7228 5.8463
angles (deg): 90.00 133.98 90.00
Space group C2/m (No. 12)
Unique sites:
1 Cr 0.0884 0.0000 0.3836
2 Ni 0.0000 0.5000 0.0000
3 Ir 0.2053 0.5000 0.7915

=====

The calculated energies rank the structures as follows, beginning with the most stable: #3, #2, #1.

=====

#1
CrNiIr3 | PBE | optimized geometry

Summary:
The density of states at the Fermi level is 10.2 states/eV/cell. The volume is 17.01 Å³ per atom.

a b c (Å): 4.3979 4.3979 4.3979
angles (deg): 90.00 90.00 90.00
Space group Pm-3m (No. 221)
Unique sites:
1 Cr 0.0000 0.0000 0.0000
2 Ni 0.5000 0.5000 0.5000
3 Ir 0.0000 0.5000 0.5000

=====

#2
CrNiIr3 | PBE | optimized geometry

Summary:
The density of states at the Fermi level is 22.9 states/eV/cell. The volume is 13.40 Å³ per atom.

a b c (Å): 4.5829 13.4246 4.5802
angles (deg): 90.00 107.98 90.00
Space group C2/c (No. 15)
Unique sites:
1 Cr 0.0000 0.1543 0.2500
2 Ni 0.0000 0.3497 0.2500
3 Ir 0.0000 0.0538 0.7500
4 Ir 0.0000 0.2523 0.7500
5 Ir 0.0000 0.4500 0.7500

=====

The calculated energies rank the structures as follows, beginning with the most stable: #2, #1.

=====

#1
CrNiIrRh | PBE | optimized geometry

Summary:
The density of states at the Fermi level is 5.2 states/eV/cell. The volume is 12.93 Å³ per atom.

a b c (Å): 2.6777 3.6058 5.3577
angles (deg): 90.00 90.00 90.00
Space group Pmm2 (No. 25)
Unique sites:
1 Cr 0.0000 0.0000 0.0000
2 Ni 0.0000 0.0000 0.4934
3 Ir 0.5000 0.5000 0.2439
4 Rh 0.5000 0.5000 0.7438

=====

#2
CrNiIrRh | PBE | optimized geometry

Summary:
The density of states at the Fermi level is 29.6 states/eV/cell. The volume is 13.12 Å³ per atom.

a b c (Å): 5.9436 5.9436 5.9436
angles (deg): 90.00 90.00 90.00
Space group F-43m (No. 216)
Unique sites:
1 Cr 0.0000 0.0000 0.0000
2 Ni 0.0000 0.0000 0.5000
3 Ir 0.2500 0.2500 0.2500
4 Rh 0.2500 0.2500 0.7500

=====

The calculated energies rank the structures as follows, beginning with the most stable: #1, #2.

=====

#1
Y2CrNiIr | PBE | optimized geometry

Summary:
The density of states at the Fermi level is 4.3 states/eV/cell. The volume is 26.31 Å³ per atom.

a b c (Å): 5.3719 5.3719 4.5586
angles (deg): 90.00 90.00 90.00
Space group P4/mmm (No. 123)
Unique sites:
1 Y 0.0000 0.5000 0.0000
2 Cr 0.0000 0.0000 0.5000
3 Ni 0.5000 0.5000 0.5000
4 Ir 0.0000 0.0000 0.0000

=====

#2
Y2CrNiIr | PBE | optimized geometry

Summary:
The density of states at the Fermi level is 5.7 states/eV/cell. The volume is 21.16 Å³ per atom.

a b c (Å): 5.0866 5.0866 4.0890
angles (deg): 90.00 90.00 90.00
Space group P4/mmm (No. 123)
Unique sites:
1 Y 0.0000 0.5000 0.0000
2 Cr 0.0000 0.0000 0.0000
3 Ni 0.0000 0.0000 0.5000
4 Ir 0.5000 0.5000 0.5000

=====

The calculated energies rank the structures as follows, beginning with the most stable: #1, #2.